## Nd2Ag5Hg3 (PBE-GGA)

Data for a geometry-optimized Nd2Ag5Hg3 structure.

Properties
ΔE_f in eV per atom: -0.152
Total DFT energy (no corrections) in eV per cell: -52.44

Lattice parameters (Å, degrees): 9.424 9.424 9.424 101.88 89.54 143.34
Fractional positions:
Nd  0.244  0.125  0.369
Nd  0.256  0.625  0.880
Nd  0.744  0.375  0.120
Nd  0.756  0.875  0.631
Ag  0.145  0.866  0.011
Ag  0.250  0.504  0.254
Ag  0.250  0.750  0.500
Ag  0.250  0.996  0.746
Ag  0.355  0.366  0.721
Ag  0.645  0.634  0.279
Ag  0.750  0.004  0.254
Ag  0.750  0.250  0.500
Ag  0.750  0.496  0.746
Ag  0.855  0.134  0.989
Hg  0.148  0.378  0.526
Hg  0.250  0.250  0.000
Hg  0.352  0.878  0.230
Hg  0.648  0.122  0.770
Hg  0.750  0.750  0.000
Hg  0.852  0.622  0.474


## PmPrAlAg (PBE-GGA)

Data for a geometry-optimized PmPrAlAg structure.

Properties
Energy above the most stable polymorph in this dataset in eV/f.u.: 0.00
ΔE_f in eV per atom: -0.313
Total DFT energy (no corrections) in eV per cell: -17.38

Lattice parameters (Å, degrees): 3.663 3.663 7.813 90.00 90.00 90.00
Fractional positions:
Pm  0.000  0.000  0.000
Pr  0.000  0.000  0.492
Al  0.500  0.500  0.242
Ag  0.500  0.500  0.758